Density functional theory data (PBE) for a geometry-optimized NaPa2Te3 structure.

Results
Total energy, eV/atom: -5.689
Formation energy without anion corrections, meV per atom: -733
M_tot, μB/f.u.: 2.9

Lattice parameters (Å, degrees): 4.1655 6.1737 7.8832 113.05 105.32 90.00
Closest atoms and distances in Å follow each position.
Positions (direct):
Na  0.5000  0.5000  0.5000  6 Te 3.08-3.09
Pa  0.8301  0.8301  0.1603  6 Te 3.09-3.15
Pa  0.1699  0.1699  0.8397  6 Te 3.09-3.15
Te  0.8369  0.3369  0.1738  2 Na 3.08, 4 Pa 3.09-3.12
Te  0.1631  0.6631  0.8262  2 Na 3.08, 4 Pa 3.09-3.12
Te  0.5000  0.0000  0.5000  2 Na 3.09, 4 Pa 3.15

***

Density functional theory data (PBE) for a geometry-optimized Na2PaTe4 structure.

Results
Total energy, eV/atom: -4.262
Formation energy without anion corrections, meV per atom: -733
M_tot, μB/f.u.: 0.4

Lattice parameters (Å, degrees): 4.5320 7.9630 8.6160 122.87 105.25 90.00
Closest atoms and distances in Å follow each position.
Positions (direct):
Na  0.6908  0.6900  0.3817  5 Te 3.15-3.36
Na  0.3092  0.3100  0.6183  5 Te 3.15-3.36
Pa  0.0000  0.0000  0.0000  6 Te 2.97-3.04
Te  0.9276  0.2660  0.8551  1 Pa 2.97, 1 Te 3.10, 2 Na 3.15
Te  0.0724  0.7340  0.1449  1 Pa 2.97, 1 Te 3.10, 2 Na 3.15
Te  0.6423  0.2344  0.2847  2 Pa 3.04, 3 Na 3.24-3.36
Te  0.3577  0.7656  0.7153  2 Pa 3.04, 3 Na 3.24-3.36

***

Density functional theory data (PBE) for a geometry-optimized NaPa6Te12 structure.

Results
Total energy, eV/atom: -5.768
Formation energy without anion corrections, meV per atom: -715
M_tot, μB/f.u.: 7.0

Lattice parameters (Å, degrees): 8.9392 8.9392 8.9392 101.39 101.39 101.39
Closest atoms and distances in Å follow each position.
Positions (direct):
Na  0.0000  0.0000  0.0000  6 Te 3.00
Pa  0.6944  0.8672  0.3698  7 Te 3.02-3.32
Pa  0.6302  0.3056  0.1328  7 Te 3.02-3.32
Pa  0.1328  0.6302  0.3056  7 Te 3.02-3.32
Pa  0.3056  0.1328  0.6302  7 Te 3.02-3.32
Pa  0.3698  0.6944  0.8672  7 Te 3.02-3.32
Pa  0.8672  0.3698  0.6944  7 Te 3.02-3.32
Te  0.8266  0.5813  0.4401  4 Pa 3.14-3.24
Te  0.4401  0.8266  0.5813  4 Pa 3.14-3.24
Te  0.5813  0.4401  0.8266  4 Pa 3.14-3.24
Te  0.1734  0.4187  0.5599  4 Pa 3.14-3.24
Te  0.5599  0.1734  0.4187  4 Pa 3.14-3.24
Te  0.4187  0.5599  0.1734  4 Pa 3.14-3.24
Te  0.0595  0.9480  0.3259  1 Na 3.00, 3 Pa 3.02-3.32
Te  0.0520  0.6741  0.9405  1 Na 3.00, 3 Pa 3.02-3.32
Te  0.6741  0.9405  0.0520  1 Na 3.00, 3 Pa 3.02-3.32
Te  0.9405  0.0520  0.6741  1 Na 3.00, 3 Pa 3.02-3.32
Te  0.9480  0.3259  0.0595  1 Na 3.00, 3 Pa 3.02-3.32
Te  0.3259  0.0595  0.9480  1 Na 3.00, 3 Pa 3.02-3.32

***

Density functional theory data (PBE) for a geometry-optimized NaPa6Te8 structure.

Results
Total energy, eV/atom: -6.194
Formation energy without anion corrections, meV per atom: -632
M_tot, μB/f.u.: 10.4

Lattice parameters (Å, degrees): 8.1293 8.1293 8.1293 69.57 69.57 69.57
Closest atoms and distances in Å follow each position.
Positions (direct):
Na  0.0000  0.0000  0.0000  6 Te 3.09
Pa  0.5485  0.3129  0.9281  7 Te 3.13-3.24, 1 Pa 3.38
Pa  0.3129  0.9281  0.5485  7 Te 3.13-3.24, 1 Pa 3.38
Pa  0.9281  0.5485  0.3129  7 Te 3.13-3.24, 1 Pa 3.38
Pa  0.4515  0.6871  0.0719  7 Te 3.13-3.24, 1 Pa 3.38
Pa  0.6871  0.0719  0.4515  7 Te 3.13-3.24, 1 Pa 3.38
Pa  0.0719  0.4515  0.6871  7 Te 3.13-3.24, 1 Pa 3.38
Te  0.6694  0.6694  0.6694  6 Pa 3.16-3.17
Te  0.3306  0.3306  0.3306  6 Pa 3.16-3.17
Te  0.6323  0.9012  0.1824  1 Na 3.09, 5 Pa 3.13-3.24
Te  0.9012  0.1824  0.6323  1 Na 3.09, 5 Pa 3.13-3.24
Te  0.1824  0.6323  0.9012  1 Na 3.09, 5 Pa 3.13-3.24
Te  0.3677  0.0988  0.8176  1 Na 3.09, 5 Pa 3.13-3.24
Te  0.0988  0.8176  0.3677  1 Na 3.09, 5 Pa 3.13-3.24
Te  0.8176  0.3677  0.0988  1 Na 3.09, 5 Pa 3.13-3.24

***

Density functional theory data (PBE) for a geometry-optimized Na2PaTe6 structure.

Results
Total energy, eV/atom: -4.025
Formation energy without anion corrections, meV per atom: -582
M_tot, μB/f.u.: 0.0

Lattice parameters (Å, degrees): 4.4163 8.4460 9.1326 117.54 90.00 90.00
Closest atoms and distances in Å follow each position.
Positions (direct):
Na  0.0000  0.2498  0.6295  6 Te 3.15-3.43
Na  0.0000  0.6203  0.3705  6 Te 3.15-3.43
Pa  0.5000  0.0714  0.0000  9 Te 2.99-3.26
Te  0.5000  0.7177  0.0000  1 Pa 2.99, 4 Te 3.18
Te  0.5000  0.3170  0.3849  1 Pa 3.15, 2 Te 3.27, 4 Na 3.37-3.43
Te  0.5000  0.9321  0.6151  1 Pa 3.15, 2 Te 3.27, 4 Na 3.37-3.43
Te  0.0000  0.3226  0.0000  2 Pa 3.06, 2 Na 3.15
Te  0.0000  0.7728  0.7765  4 Te 3.18-3.27, 2 Pa 3.26, 1 Na 3.32
Te  0.0000  0.9963  0.2235  4 Te 3.18-3.27, 2 Pa 3.26, 1 Na 3.32

***

Density functional theory data (PBE) for a geometry-optimized Na5Pa3Te12 structure.

Results
Total energy, eV/atom: -4.182
Formation energy without anion corrections, meV per atom: -543
M_tot, μB/f.u.: 0.0

Lattice parameters (Å, degrees): 15.4728 15.4728 15.4728 109.47 109.47 109.47
Closest atoms and distances in Å follow each position.
Positions (direct):
Pa  0.7500  0.3750  0.1250  8 Te 3.12-3.31
Pa  0.8750  0.7500  0.1250  8 Te 3.12-3.31
Pa  0.3750  0.7500  0.6250  8 Te 3.12-3.31
Pa  0.2500  0.1250  0.3750  8 Te 3.12-3.31
Pa  0.8750  0.1250  0.2500  8 Te 3.12-3.31
Pa  0.3750  0.6250  0.2500  8 Te 3.12-3.31
Pa  0.6250  0.3750  0.7500  8 Te 3.12-3.31
Pa  0.1250  0.8750  0.7500  8 Te 3.12-3.31
Pa  0.7500  0.8750  0.6250  8 Te 3.12-3.31
Pa  0.6250  0.2500  0.3750  8 Te 3.12-3.31
Pa  0.1250  0.2500  0.8750  8 Te 3.12-3.31
Pa  0.2500  0.6250  0.8750  8 Te 3.12-3.31
Na  0.1250  0.3750  0.2500  4 Te 2.92
Na  0.0000  0.5000  0.0000  6 Te 3.17
Na  0.0000  0.0000  0.0000  6 Te 3.17
Na  0.3750  0.2500  0.1250  4 Te 2.92
Na  0.5000  0.0000  0.5000  6 Te 3.17
Na  0.5000  0.5000  0.0000  6 Te 3.17
Na  0.1250  0.7500  0.3750  4 Te 2.92
Na  0.7500  0.1250  0.8750  4 Te 2.92
Na  0.7500  0.6250  0.3750  4 Te 2.92
Na  0.3750  0.1250  0.7500  4 Te 2.92
Na  0.6250  0.8750  0.2500  4 Te 2.92
Na  0.5000  0.5000  0.5000  6 Te 3.17
Na  0.5000  0.0000  0.0000  6 Te 3.17
Na  0.0000  0.0000  0.5000  6 Te 3.17
Na  0.2500  0.3750  0.6250  4 Te 2.92
Na  0.2500  0.8750  0.1250  4 Te 2.92
Na  0.0000  0.5000  0.5000  6 Te 3.17
Na  0.8750  0.2500  0.6250  4 Te 2.92
Na  0.6250  0.7500  0.8750  4 Te 2.92
Na  0.8750  0.6250  0.7500  4 Te 2.92
Te  0.7373  0.1433  0.0641  2 Na 2.92-3.17, 1 Pa 3.12, 1 Te 3.16
Te  0.3268  0.5641  0.4208  2 Na 2.92-3.17, 1 Pa 3.12, 1 Te 3.16
Te  0.9359  0.3567  0.2627  2 Na 2.92-3.17, 1 Pa 3.12, 1 Te 3.16
Te  0.5641  0.2373  0.1433  2 Na 2.92-3.17, 1 Pa 3.12, 1 Te 3.16
Te  0.5940  0.7373  0.6732  2 Na 2.92-3.17, 1 Pa 3.12, 1 Te 3.16
Te  0.9359  0.5792  0.1732  2 Na 2.92-3.17, 1 Pa 3.12, 1 Te 3.16
Te  0.3268  0.7627  0.4060  2 Na 2.92-3.17, 1 Pa 3.12, 1 Te 3.16
Te  0.0792  0.9060  0.1433  2 Na 2.92-3.17, 1 Pa 3.12, 1 Te 3.16
Te  0.5792  0.9359  0.6732  2 Na 2.92-3.17, 1 Pa 3.12, 1 Te 3.16
Te  0.7373  0.5940  0.1732  2 Na 2.92-3.17, 1 Pa 3.12, 1 Te 3.16
Te  0.7627  0.4359  0.3567  2 Na 2.92-3.17, 1 Pa 3.12, 1 Te 3.16
Te  0.8268  0.9208  0.0641  2 Na 2.92-3.17, 1 Pa 3.12, 1 Te 3.16
Te  0.1433  0.7373  0.5641  2 Na 2.92-3.17, 1 Pa 3.12, 1 Te 3.16
Te  0.3567  0.4208  0.0940  2 Na 2.92-3.17, 1 Pa 3.12, 1 Te 3.16
Te  0.0940  0.9208  0.3567  2 Na 2.92-3.17, 1 Pa 3.12, 1 Te 3.16
Te  0.4060  0.1433  0.5792  2 Na 2.92-3.17, 1 Pa 3.12, 1 Te 3.16
Te  0.0940  0.1732  0.2373  2 Na 2.92-3.17, 1 Pa 3.12, 1 Te 3.16
Te  0.4359  0.6732  0.0792  2 Na 2.92-3.17, 1 Pa 3.12, 1 Te 3.16
Te  0.8268  0.9060  0.2627  2 Na 2.92-3.17, 1 Pa 3.12, 1 Te 3.16
Te  0.1433  0.4060  0.0792  2 Na 2.92-3.17, 1 Pa 3.12, 1 Te 3.16
Te  0.3567  0.9359  0.7627  2 Na 2.92-3.17, 1 Pa 3.12, 1 Te 3.16
Te  0.5792  0.6433  0.4060  2 Na 2.92-3.17, 1 Pa 3.12, 1 Te 3.16
Te  0.9208  0.8268  0.5641  2 Na 2.92-3.17, 1 Pa 3.12, 1 Te 3.16
Te  0.7627  0.3268  0.9060  2 Na 2.92-3.17, 1 Pa 3.12, 1 Te 3.16
Te  0.4208  0.3567  0.5940  2 Na 2.92-3.17, 1 Pa 3.12, 1 Te 3.16
Te  0.0792  0.1732  0.4359  2 Na 2.92-3.17, 1 Pa 3.12, 1 Te 3.16
Te  0.2373  0.6732  0.0940  2 Na 2.92-3.17, 1 Pa 3.12, 1 Te 3.16
Te  0.1732  0.0940  0.7373  2 Na 2.92-3.17, 1 Pa 3.12, 1 Te 3.16
Te  0.6433  0.0641  0.2373  2 Na 2.92-3.17, 1 Pa 3.12, 1 Te 3.16
Te  0.8567  0.5940  0.9208  2 Na 2.92-3.17, 1 Pa 3.12, 1 Te 3.16
Te  0.5641  0.3268  0.9208  2 Na 2.92-3.17, 1 Pa 3.12, 1 Te 3.16
Te  0.5940  0.8567  0.4208  2 Na 2.92-3.17, 1 Pa 3.12, 1 Te 3.16
Te  0.9060  0.8268  0.7627  2 Na 2.92-3.17, 1 Pa 3.12, 1 Te 3.16
Te  0.9060  0.0792  0.6433  2 Na 2.92-3.17, 1 Pa 3.12, 1 Te 3.16
Te  0.8567  0.2627  0.4359  2 Na 2.92-3.17, 1 Pa 3.12, 1 Te 3.16
Te  0.1732  0.0792  0.9359  2 Na 2.92-3.17, 1 Pa 3.12, 1 Te 3.16
Te  0.6433  0.5792  0.9060  2 Na 2.92-3.17, 1 Pa 3.12, 1 Te 3.16
Te  0.4208  0.0641  0.3268  2 Na 2.92-3.17, 1 Pa 3.12, 1 Te 3.16
Te  0.2627  0.4060  0.8268  2 Na 2.92-3.17, 1 Pa 3.12, 1 Te 3.16
Te  0.2373  0.5641  0.6433  2 Na 2.92-3.17, 1 Pa 3.12, 1 Te 3.16
Te  0.9208  0.0940  0.8567  2 Na 2.92-3.17, 1 Pa 3.12, 1 Te 3.16
Te  0.6732  0.2373  0.5940  2 Na 2.92-3.17, 1 Pa 3.12, 1 Te 3.16
Te  0.4359  0.7627  0.8567  2 Na 2.92-3.17, 1 Pa 3.12, 1 Te 3.16
Te  0.0641  0.4208  0.8268  2 Na 2.92-3.17, 1 Pa 3.12, 1 Te 3.16
Te  0.4060  0.2627  0.3268  2 Na 2.92-3.17, 1 Pa 3.12, 1 Te 3.16
Te  0.0641  0.6433  0.7373  2 Na 2.92-3.17, 1 Pa 3.12, 1 Te 3.16
Te  0.6732  0.4359  0.5792  2 Na 2.92-3.17, 1 Pa 3.12, 1 Te 3.16
Te  0.2627  0.8567  0.9359  2 Na 2.92-3.17, 1 Pa 3.12, 1 Te 3.16